[1]
Below is a geometry-optimized BaSr2AlH structure, with properties calculated at the PBE level.

Properties
V   157 Å³ per cell
Symmetry   No. 123
Energy   -13.1 eV per cell

Cell and atoms, written as POSCAR:
```
BaSr2AlH
1.0
5.372 0.000 0.000
0.000 5.372 0.000
0.000 0.000 5.453
Ba Sr Al H
1 2 1 1
Direct
0.000 0.000 0.000
0.000 0.500 0.500
0.500 0.000 0.500
0.500 0.500 0.000
0.000 0.000 0.500
```


[2]
Below is a geometry-optimized ZnCd2P structure, with properties calculated at the PBE level.

Properties
V   80 Å³ per cell
Energy above the lowest structure with this stoichiometry   23.6 kJ per mole of atoms
ΔE_f   1.372 eV/f.u.
Symmetry   No. 216

Cell and atoms, written as POSCAR:
```
ZnCd2P
1.0
0.000 3.421 3.421
3.421 0.000 3.421
3.421 3.421 0.000
Zn Cd P
1 2 1
Direct
0.000 0.000 0.000
0.250 0.250 0.250
0.500 0.500 0.500
0.750 0.750 0.750
```


[3]
Below is a geometry-optimized Zr4TcTe structure, with properties calculated at the PBE level.

Properties
Formation energy (no corrections)   0.411 eV per atom
V   128 Å³ per cell
Symmetry   No. 216

Cell and atoms, written as POSCAR:
```
Zr4TcTe
1.0
0.000 4.004 4.004
4.004 0.000 4.004
4.004 4.004 0.000
Zr Tc Te
4 1 1
Direct
0.124 0.124 0.124
0.124 0.124 0.629
0.124 0.629 0.124
0.629 0.124 0.124
0.750 0.750 0.750
0.500 0.500 0.500
```